The following is a PBE calculation of a geometry-optimized Na3U3CdSe8 structure, from the Alexandria database.

```
15
Lattice="-5.274 2.536 -5.756 1.869 -7.968 0.631 -4.856 3.567 6.020" Properties=species:S:1:pos:R:3 pbc="T T T"
Se -3.917 -0.697 3.282
Se -6.577 0.607 0.440
Se -2.671 1.499 0.130
Se -5.262 2.744 -2.698
Se -1.684 -2.472 0.454
Se -5.589 -3.364 0.764
Se -4.344 -1.169 -2.388
Se -2.999 -4.609 3.592
Cd -2.428 1.784 3.010
Na 0.000 0.000 0.000
Na -1.703 -2.716 -2.563
Na 0.934 -3.984 0.315
U -1.494 -2.200 3.325
U -5.065 3.051 0.132
U -4.130 -0.933 0.447
```



7
Lattice="-1.572 1.572 11.041 1.572 -1.572 11.041 1.572 1.572 -11.041" Properties=species:S:1:pos:R:3 comment="Re4W3 PBE optimized geometry" formation_energy_ev_per_atom=0.14 pbc="T T T"
W 0.000 0.000 6.329
W 0.000 0.000 15.752
W 0.000 0.000 0.000
Re 0.000 0.000 12.563
Re 0.000 0.000 3.191
Re 0.000 0.000 9.518
Re 0.000 0.000 18.891



4
Lattice="2.647 0.000 0.000 1.323 2.292 0.000 1.323 0.764 7.908" Properties=species:S:1:pos:R:3 comment="BeFeRu2 PBE optimized geometry" formation_energy_ev_per_atom=0.08 pbc="T T T"
Ru 1.323 0.764 1.955
Ru 1.323 0.764 5.957
Fe 2.647 1.528 3.948
Be 2.647 1.528 0.002



5
Lattice="4.897 0.000 0.000 0.000 6.018 0.000 0.000 0.000 4.897" Properties=species:S:1:pos:R:3 comment="LaMgInRh2 PBE optimized geometry" formation_energy_ev_per_atom=0.71 pbc="T T T"
In 2.448 3.009 2.448
La 0.000 0.000 0.000
Mg 0.000 3.009 0.000
Rh 2.448 0.000 0.000
Rh 0.000 0.000 2.448



The E results, record by record, are as follows: -5.5301; -12.5211; -7.6077; -4.0863 eV/atom.